Version i
# TlHg8Pb2 GGA-PBE relaxed
data_TlHg8Pb2
_symmetry_space_group_name_H-M 'C 1 2/m 1'
_symmetry_Int_Tables_number 12
_cell_length_a 17.2216
_cell_length_b 6.2801
_cell_length_c 6.2252
_cell_angle_alpha 90.00
_cell_angle_beta 110.83
_cell_angle_gamma 90.00
loop_
_symmetry_equiv_pos_as_xyz
'x,y,z'
'-x,-y,-z'
'-x,y,-z'
'x,-y,z'
'x+1/2,y+1/2,z'
'-x+1/2,-y+1/2,-z'
'-x+1/2,y+1/2,-z'
'x+1/2,-y+1/2,z'
loop_
_atom_site_label
_atom_site_type_symbol
_atom_site_fract_x
_atom_site_fract_y
_atom_site_fract_z
Tl1 Tl 0.0000 0.0000 0.0000
Hg1 Hg 0.0266 0.5000 0.2878
Hg2 Hg 0.0960 0.0000 0.5301
Hg3 Hg 0.1598 0.2628 0.9846
Pb1 Pb 0.2275 0.5000 0.5331
# Spin magnetization (μB/f.u.): 0.0


Version ii
# TlHg8Pb2 GGA-PBE relaxed
data_TlHg8Pb2
_symmetry_space_group_name_H-M 'P -1'
_symmetry_Int_Tables_number 2
_cell_length_a 3.3984
_cell_length_b 8.6104
_cell_length_c 10.8641
_cell_angle_alpha 92.52
_cell_angle_beta 90.67
_cell_angle_gamma 101.15
loop_
_symmetry_equiv_pos_as_xyz
'x,y,z'
'-x,-y,-z'
loop_
_atom_site_label
_atom_site_type_symbol
_atom_site_fract_x
_atom_site_fract_y
_atom_site_fract_z
Tl1 Tl 0.0000 0.0000 0.0000
Hg1 Hg 0.0776 0.1676 0.4503
Hg2 Hg 0.1968 0.3712 0.9119
Hg3 Hg 0.3572 0.7330 0.8166
Hg4 Hg 0.4617 0.9034 0.2733
Pb1 Pb 0.2647 0.5419 0.3664
# Spin magnetization (μB/f.u.): 0.0


Stability, highest: version ii


Version i
# TlHg2Pb4 GGA-PBE relaxed
data_TlHg2Pb4
_symmetry_space_group_name_H-M 'C m m m'
_symmetry_Int_Tables_number 65
_symmetry_space_group_name_Hall '-C 2 2'
_cell_length_a 5.7036
_cell_length_b 21.6226
_cell_length_c 3.4367
_cell_angle_alpha 90.00
_cell_angle_beta 90.00
_cell_angle_gamma 90.00
loop_
_atom_site_label
_atom_site_type_symbol
_atom_site_fract_x
_atom_site_fract_y
_atom_site_fract_z
Tl1 Tl 0.0000 0.0000 0.0000
Hg1 Hg 0.0000 0.4311 0.5000
Pb1 Pb 0.0000 0.1507 0.5000
Pb2 Pb 0.0000 0.2940 0.0000
# Spin magnetization (μB/f.u.): 0.0


Version ii
# TlHg2Pb4 GGA-PBE relaxed
data_TlHg2Pb4
_symmetry_space_group_name_H-M 'P 42/m n m'
_symmetry_Int_Tables_number 136
_symmetry_space_group_name_Hall '-P 4n 2n'
_cell_length_a 9.9123
_cell_length_b 9.9123
_cell_length_c 4.5496
_cell_angle_alpha 90.00
_cell_angle_beta 90.00
_cell_angle_gamma 90.00
loop_
_atom_site_label
_atom_site_type_symbol
_atom_site_fract_x
_atom_site_fract_y
_atom_site_fract_z
Tl1 Tl 0.0000 0.0000 0.0000
Hg1 Hg 0.1608 0.1608 0.5000
Pb1 Pb 0.0965 0.6550 0.5000
# Spin magnetization (μB/f.u.): 0.0


Stability, highest: version i


Version i
# Tl6HgPb3 GGA-PBE relaxed
data_Tl6HgPb3
_symmetry_space_group_name_H-M 'P -3 1 m'
_symmetry_Int_Tables_number 162
_symmetry_space_group_name_Hall '-P 3 2'
_cell_length_a 6.1872
_cell_length_b 6.1872
_cell_length_c 9.8014
_cell_angle_alpha 90.00
_cell_angle_beta 90.00
_cell_angle_gamma 120.00
loop_
_atom_site_label
_atom_site_type_symbol
_atom_site_fract_x
_atom_site_fract_y
_atom_site_fract_z
Tl1 Tl 0.0000 0.3741 0.2972
Hg1 Hg 0.0000 0.0000 0.5000
Pb1 Pb 0.0000 0.0000 0.0000
Pb2 Pb 0.3333 0.6667 0.0000
# Spin magnetization (μB/f.u.): 0.0


Version ii
# Tl6HgPb3 GGA-PBE relaxed
data_Tl6HgPb3
_symmetry_space_group_name_H-M 'P 1 21/m 1'
_symmetry_Int_Tables_number 11
_cell_length_a 12.8310
_cell_length_b 3.3947
_cell_length_c 15.4522
_cell_angle_alpha 90.00
_cell_angle_beta 112.64
_cell_angle_gamma 90.00
loop_
_symmetry_equiv_pos_as_xyz
'x,y,z'
'-x,-y,-z'
'-x,y+1/2,-z'
'x,-y+1/2,z'
loop_
_atom_site_label
_atom_site_type_symbol
_atom_site_fract_x
_atom_site_fract_y
_atom_site_fract_z
Tl1 Tl 0.0368 0.2500 0.4088
Tl2 Tl 0.1306 0.7500 0.9957
Tl3 Tl 0.1624 0.2500 0.7854
Tl4 Tl 0.2604 0.7500 0.3924
Tl5 Tl 0.3254 0.2500 0.2095
Tl6 Tl 0.4376 0.2500 0.8056
Hg1 Hg 0.0714 0.7500 0.1850
Pb1 Pb 0.2378 0.7500 0.6124
Pb2 Pb 0.3765 0.2500 0.9989
Pb3 Pb 0.4689 0.2500 0.5914
# Spin magnetization (μB/f.u.): 0.0


Stability, highest: version ii


Version i
# Tl6HgPb2 GGA-PBE relaxed
data_Tl6HgPb2
_symmetry_space_group_name_H-M 'P -6 m 2'
_symmetry_Int_Tables_number 187
_symmetry_space_group_name_Hall 'P -6 2'
_cell_length_a 3.5722
_cell_length_b 3.5722
_cell_length_c 25.2033
_cell_angle_alpha 90.00
_cell_angle_beta 90.00
_cell_angle_gamma 120.00
loop_
_atom_site_label
_atom_site_type_symbol
_atom_site_fract_x
_atom_site_fract_y
_atom_site_fract_z
Tl1 Tl 0.0000 0.0000 0.0640
Tl2 Tl 0.0000 0.0000 0.2855
Tl3 Tl 0.3333 0.6667 0.3981
Hg1 Hg 0.0000 0.0000 0.5000
Pb1 Pb 0.3333 0.6667 0.1750
# Spin magnetization (μB/f.u.): 0.0


Version ii
# Tl6HgPb2 GGA-PBE relaxed
data_Tl6HgPb2
_symmetry_space_group_name_H-M 'C 1 2/m 1'
_symmetry_Int_Tables_number 12
_cell_length_a 11.4885
_cell_length_b 9.5814
_cell_length_c 5.8398
_cell_angle_alpha 90.00
_cell_angle_beta 119.86
_cell_angle_gamma 90.00
loop_
_symmetry_equiv_pos_as_xyz
'x,y,z'
'-x,-y,-z'
'-x,y,-z'
'x,-y,z'
'x+1/2,y+1/2,z'
'-x+1/2,-y+1/2,-z'
'-x+1/2,y+1/2,-z'
'x+1/2,-y+1/2,z'
loop_
_atom_site_label
_atom_site_type_symbol
_atom_site_fract_x
_atom_site_fract_y
_atom_site_fract_z
Tl1 Tl 0.0000 0.1765 0.0000
Tl2 Tl 0.1665 0.3191 0.6646
Hg1 Hg 0.0000 0.0000 0.5000
Pb1 Pb 0.1701 0.5000 0.1677
# Spin magnetization (μB/f.u.): 0.0


Stability, highest: version i


Version i
# Tl3Hg2Pb5 GGA-PBE relaxed
data_Tl3Hg2Pb5
_symmetry_space_group_name_H-M 'C 1 2/c 1'
_symmetry_Int_Tables_number 15
_cell_length_a 14.7269
_cell_length_b 10.2559
_cell_length_c 10.5874
_cell_angle_alpha 90.00
_cell_angle_beta 130.91
_cell_angle_gamma 90.00
loop_
_symmetry_equiv_pos_as_xyz
'x,y,z'
'-x,-y,-z'
'-x,y,-z+1/2'
'x,-y,z+1/2'
'x+1/2,y+1/2,z'
'-x+1/2,-y+1/2,-z'
'-x+1/2,y+1/2,-z+1/2'
'x+1/2,-y+1/2,z+1/2'
loop_
_atom_site_label
_atom_site_type_symbol
_atom_site_fract_x
_atom_site_fract_y
_atom_site_fract_z
Tl1 Tl 0.0000 0.1259 0.2500
Tl2 Tl 0.0933 0.1236 0.6484
Hg1 Hg 0.2044 0.1276 0.0512
Pb1 Pb 0.0000 0.3798 0.7500
Pb2 Pb 0.1027 0.3749 0.1510
Pb3 Pb 0.2003 0.3782 0.5520
# Spin magnetization (μB/f.u.): 0.0


Version ii
# Tl3Hg2Pb5 GGA-PBE relaxed
data_Tl3Hg2Pb5
_symmetry_space_group_name_H-M 'I b a m'
_symmetry_Int_Tables_number 72
_symmetry_space_group_name_Hall '-I 2 2c'
_cell_length_a 10.4714
_cell_length_b 18.8853
_cell_length_c 6.8435
_cell_angle_alpha 90.00
_cell_angle_beta 90.00
_cell_angle_gamma 90.00
loop_
_atom_site_label
_atom_site_type_symbol
_atom_site_fract_x
_atom_site_fract_y
_atom_site_fract_z
Tl1 Tl 0.0000 0.0000 0.2500
Tl2 Tl 0.2443 0.1065 0.0000
Hg1 Hg 0.0297 0.1771 0.5000
Pb1 Pb 0.0000 0.3225 0.2500
Pb2 Pb 0.0000 0.5000 0.2500
Pb3 Pb 0.2285 0.4174 0.0000
# Spin magnetization (μB/f.u.): 0.0


Stability, highest: version i


Version i
# Tl12Hg7Pb GGA-PBE relaxed
data_Tl12Hg7Pb
_symmetry_space_group_name_H-M 'R -3 m'
_symmetry_Int_Tables_number 166
_symmetry_space_group_name_Hall '-R 3 2"'
_cell_length_a 13.6565
_cell_length_b 13.6565
_cell_length_c 11.0997
_cell_angle_alpha 90.00
_cell_angle_beta 90.00
_cell_angle_gamma 120.00
loop_
_atom_site_label
_atom_site_type_symbol
_atom_site_fract_x
_atom_site_fract_y
_atom_site_fract_z
Tl1 Tl 0.0000 0.2622 0.0000
Tl2 Tl 0.0647 0.5324 0.1223
Hg1 Hg 0.0000 0.0000 0.5000
Hg2 Hg 0.0843 0.1686 0.7597
Pb1 Pb 0.0000 0.0000 0.0000
# Spin magnetization (μB/f.u.): 0.0


Version ii
# Tl12Hg7Pb GGA-PBE relaxed
data_Tl12Hg7Pb
_symmetry_space_group_name_H-M 'R -3'
_symmetry_Int_Tables_number 148
_symmetry_space_group_name_Hall '-R 3'
_cell_length_a 13.7740
_cell_length_b 13.7740
_cell_length_c 10.8652
_cell_angle_alpha 90.00
_cell_angle_beta 90.00
_cell_angle_gamma 120.00
loop_
_atom_site_label
_atom_site_type_symbol
_atom_site_fract_x
_atom_site_fract_y
_atom_site_fract_z
Tl1 Tl 0.0134 0.7492 0.0196
Tl2 Tl 0.0647 0.8943 0.7509
Hg1 Hg 0.0000 0.0000 0.0000
Hg2 Hg 0.0555 0.5517 0.1206
Pb1 Pb 0.0000 0.0000 0.5000
# Spin magnetization (μB/f.u.): 0.0


Stability, highest: version ii


Version i
# Tl2HgPb2 GGA-PBE relaxed
data_Tl2HgPb2
_symmetry_space_group_name_H-M 'P 4/m b m'
_symmetry_Int_Tables_number 127
_symmetry_space_group_name_Hall '-P 4 2ab'
_cell_length_a 8.8467
_cell_length_b 8.8467
_cell_length_c 4.1052
_cell_angle_alpha 90.00
_cell_angle_beta 90.00
_cell_angle_gamma 90.00
loop_
_atom_site_label
_atom_site_type_symbol
_atom_site_fract_x
_atom_site_fract_y
_atom_site_fract_z
Tl1 Tl 0.1615 0.3385 0.0000
Hg1 Hg 0.0000 0.0000 0.5000
Pb1 Pb 0.1384 0.6384 0.5000
# Spin magnetization (μB/f.u.): 0.0


Version ii
# Tl2HgPb2 GGA-PBE relaxed
data_Tl2HgPb2
_symmetry_space_group_name_H-M 'P 4/m b m'
_symmetry_Int_Tables_number 127
_symmetry_space_group_name_Hall '-P 4 2ab'
_cell_length_a 9.8095
_cell_length_b 9.8095
_cell_length_c 3.4443
_cell_angle_alpha 90.00
_cell_angle_beta 90.00
_cell_angle_gamma 90.00
loop_
_atom_site_label
_atom_site_type_symbol
_atom_site_fract_x
_atom_site_fract_y
_atom_site_fract_z
Tl1 Tl 0.1730 0.3270 0.0000
Hg1 Hg 0.0000 0.0000 0.0000
Pb1 Pb 0.1231 0.6231 0.5000
# Spin magnetization (μB/f.u.): 0.0


Stability, highest: version ii


Version i
# TlHgPb GGA-PBE relaxed
data_TlHgPb
_symmetry_space_group_name_H-M 'F m m 2'
_symmetry_Int_Tables_number 42
_symmetry_space_group_name_Hall 'F 2 -2'
_cell_length_a 3.7182
_cell_length_b 5.7740
_cell_length_c 16.5629
_cell_angle_alpha 90.00
_cell_angle_beta 90.00
_cell_angle_gamma 90.00
loop_
_atom_site_label
_atom_site_type_symbol
_atom_site_fract_x
_atom_site_fract_y
_atom_site_fract_z
Tl1 Tl 0.0000 0.0000 0.0000
Hg1 Hg 0.0000 0.0000 0.6601
Pb1 Pb 0.0000 0.0000 0.3216
# Spin magnetization (μB/f.u.): 0.0


Version ii
# TlHgPb GGA-PBE relaxed
data_TlHgPb
_symmetry_space_group_name_H-M 'I m m 2'
_symmetry_Int_Tables_number 44
_cell_length_a 3.6538
_cell_length_b 4.5475
_cell_length_c 10.4949
_cell_angle_alpha 90.00
_cell_angle_beta 90.00
_cell_angle_gamma 90.00
loop_
_symmetry_equiv_pos_as_xyz
'x,y,z'
'-x,-y,z'
'-x,y,z'
'x,-y,z'
'x+1/2,y+1/2,z+1/2'
'-x+1/2,-y+1/2,z+1/2'
'-x+1/2,y+1/2,z+1/2'
'x+1/2,-y+1/2,z+1/2'
loop_
_atom_site_label
_atom_site_type_symbol
_atom_site_fract_x
_atom_site_fract_y
_atom_site_fract_z
Tl1 Tl 0.0000 0.0000 0.0000
Hg1 Hg 0.0000 0.0000 0.6618
Pb1 Pb 0.0000 0.0000 0.3244
# Spin magnetization (μB/f.u.): 0.0


Version iii
# TlHgPb GGA-PBE relaxed
data_TlHgPb
_symmetry_space_group_name_H-M 'F -4 3 m'
_symmetry_Int_Tables_number 216
_symmetry_space_group_name_Hall 'F -4 2 3'
_cell_length_a 7.3098
_cell_length_b 7.3098
_cell_length_c 7.3098
_cell_angle_alpha 90.00
_cell_angle_beta 90.00
_cell_angle_gamma 90.00
loop_
_atom_site_label
_atom_site_type_symbol
_atom_site_fract_x
_atom_site_fract_y
_atom_site_fract_z
Tl1 Tl 0.0000 0.0000 0.0000
Hg1 Hg 0.2500 0.2500 0.7500
Pb1 Pb 0.0000 0.0000 0.5000
# Spin magnetization (μB/f.u.): 0.0


Stability, highest: version i